First-principles (PBE) data for Pm4Pr2Er after structural relaxation, as listed in Alexandria via LeMat-Bulk.

Results
* crystal system: trigonal
* energy of formation from the pure elements: 10 kJ/mol of formula units

a b c (Å): 3.648 3.648 20.921
angles (deg): 85.00 85.00 60.00
Element x y z (fractional)
1 Pm 0.287 0.287 0.138
2 Pm 0.713 0.713 0.862
3 Pm 0.857 0.857 0.429
4 Pr 0.428 0.428 0.716
5 Er 0.000 0.000 0.000
6 Pr 0.572 0.572 0.284
7 Pm 0.143 0.143 0.571

=====

First-principles (PBE) data for Cs2ReI4Cl2 after structural relaxation, as listed in Alexandria via LeMat-Bulk.

Results
* crystal system: monoclinic
* energy relative to the elements, uncorrected: -901 meV/atom

a b c (Å): 8.005 8.030 8.030
angles (deg): 61.35 61.68 61.68
Element x y z (fractional)
1 I 0.751 0.229 0.753
2 I 0.751 0.753 0.229
3 Cl 0.681 0.794 0.794
4 Re 0.500 0.000 0.000
5 Cs 0.266 0.748 0.748
6 Cs 0.734 0.252 0.252
7 I 0.249 0.247 0.771
8 Cl 0.319 0.206 0.206
9 I 0.249 0.771 0.247

=====

First-principles (PBE) data for Mn4Co2Os after structural relaxation, as listed in Alexandria via LeMat-Bulk.

Results
* crystal system: tetragonal
* energy of formation from the pure elements: 351 kJ/mol of formula units

a b c (Å): 6.152 6.154 6.154
angles (deg): 70.03 70.77 109.23
Element x y z (fractional)
1 Co 0.909 0.784 0.625
2 Mn 0.235 0.848 0.237
3 Os 0.500 0.250 0.250
4 Co 0.409 0.625 0.466
5 Mn 0.735 0.013 0.402
6 Mn 0.585 0.722 0.013
7 Co 0.591 0.125 0.784
8 Mn 0.765 0.528 0.387
9 Mn 0.085 0.237 0.528
10 Mn 0.915 0.387 0.848
11 Mn 0.265 0.863 0.722
12 Co 0.091 0.466 0.125
13 Os 0.000 0.000 0.000
14 Mn 0.415 0.402 0.863

=====

First-principles (PBE) data for TlIrRh2 after structural relaxation, as listed in Alexandria via LeMat-Bulk.

Results
* crystal system: trigonal
* energy of formation from the pure elements: 162 kJ/mol of formula units

a b c (Å): 9.122 9.122 9.122
angles (deg): 18.35 18.35 18.35
Element x y z (fractional)
1 Tl 0.499 0.499 0.499
2 Rh 0.000 0.000 0.000
3 Ir 0.256 0.256 0.256
4 Rh 0.745 0.745 0.745

=====

First-principles (PBE) data for Ta4BeC2 after structural relaxation, as listed in Alexandria via LeMat-Bulk.

Results
* crystal system: orthorhombic
* energy of formation from the pure elements: -347 kJ/mol of formula units

a b c (Å): 3.213 5.443 10.921
angles (deg): 90.00 90.00 107.17
Element x y z (fractional)
1 C 0.863 0.725 0.563
2 C 0.137 0.275 0.063
3 C 0.137 0.275 0.437
4 Ta 0.769 0.538 0.386
5 Ta 0.500 0.000 0.000
6 Ta 0.231 0.462 0.886
7 Ta 0.934 0.867 0.750
8 Ta 0.231 0.462 0.614
9 Ta 0.769 0.538 0.114
10 Be 0.607 0.213 0.750
11 Ta 0.066 0.133 0.250
12 Be 0.393 0.787 0.250
13 C 0.863 0.725 0.937
14 Ta 0.500 0.000 0.500

=====

First-principles (PBE) data for B2TeO2 after structural relaxation, as listed in Alexandria via LeMat-Bulk.

Results
* crystal system: tetragonal
* energy relative to the elements, uncorrected: 835 meV/atom

a b c (Å): 3.610 3.610 4.551
angles (deg): 66.64 66.64 90.00
Element x y z (fractional)
1 B 0.615 0.615 0.770
2 O 0.250 0.750 0.500
3 Te 0.000 0.000 0.000
4 B 0.385 0.385 0.230
5 O 0.750 0.250 0.500

=====

First-principles (PBE) data for SrCa5 after structural relaxation, as listed in Alexandria via LeMat-Bulk.

Results
* crystal system: orthorhombic
* energy of formation from the pure elements: 6 kJ/mol of formula units

a b c (Å): 5.556 7.959 11.919
angles (deg): 90.00 90.00 90.00
Element x y z (fractional)
1 Ca 0.750 0.121 0.580
2 Ca 0.250 0.370 0.083
3 Ca 0.250 0.879 0.080
4 Sr 0.750 0.626 0.250
5 Ca 0.250 0.877 0.750
6 Ca 0.750 0.630 0.917
7 Ca 0.750 0.123 0.250
8 Ca 0.250 0.879 0.420
9 Ca 0.250 0.370 0.417
10 Ca 0.750 0.630 0.583
11 Sr 0.250 0.374 0.750
12 Ca 0.750 0.121 0.920

=====

First-principles (PBE) data for ZnTc3W after structural relaxation, as listed in Alexandria via LeMat-Bulk.

Results
* crystal system: cubic
* energy of formation from the pure elements: 835 kJ/mol of formula units

a b c (Å): 4.717 4.717 4.717
angles (deg): 90.00 90.00 90.00
Element x y z (fractional)
1 Tc 0.500 0.000 0.000
2 W 0.000 0.000 0.000
3 Zn 0.500 0.500 0.500
4 Tc 0.000 0.000 0.500
5 Tc 0.000 0.500 0.000

=====

First-principles (PBE) data for TbEr3Ir2 after structural relaxation, as listed in Alexandria via LeMat-Bulk.

Results
* crystal system: orthorhombic
* energy of formation from the pure elements: -385 kJ/mol of formula units

a b c (Å): 6.727 6.987 8.326
angles (deg): 114.81 113.83 90.00
Element x y z (fractional)
1 Tb 0.000 0.500 0.000
2 Ir 0.426 0.638 0.277
3 Ir 0.149 0.862 0.723
4 Er 0.235 0.485 0.471
5 Er 0.765 0.015 0.529
6 Er 0.500 0.750 0.000
7 Er 0.235 0.985 0.471
8 Ir 0.851 0.138 0.277
9 Ir 0.574 0.362 0.723
10 Er 0.500 0.250 0.000
11 Tb 0.000 0.000 0.000
12 Er 0.765 0.515 0.529

=====

First-principles (PBE) data for CdRe2Au after structural relaxation, as listed in Alexandria via LeMat-Bulk.

Results
* crystal system: monoclinic
* energy of formation from the pure elements: 138 kJ/mol of formula units

a b c (Å): 3.922 2.900 6.625
angles (deg): 65.57 90.00 90.00
Element x y z (fractional)
1 Re 0.500 0.244 0.215
2 Cd 0.500 0.763 0.745
3 Au 0.000 0.497 0.500
4 Re 0.000 0.996 0.040

=====

First-principles (PBE) data for HfTcC2 after structural relaxation, as listed in Alexandria via LeMat-Bulk.

Results
* crystal system: tetragonal
* energy of formation from the pure elements: 58 kJ/mol of formula units

a b c (Å): 4.743 4.743 5.982
angles (deg): 66.64 66.64 90.00
Element x y z (fractional)
1 C 0.586 0.125 0.250
2 C 0.875 0.836 0.750
3 C 0.164 0.625 0.250
4 Tc 0.250 0.750 0.500
5 Hf 0.000 0.000 0.000
6 Tc 0.500 0.500 0.000
7 C 0.375 0.414 0.750
8 Hf 0.750 0.250 0.500

=====

First-principles (PBE) data for TcPd3C after structural relaxation, as listed in Alexandria via LeMat-Bulk.

Results
* crystal system: cubic
* energy of formation from the pure elements: 333 kJ/mol of formula units

a b c (Å): 4.190 4.190 4.190
angles (deg): 90.00 90.00 90.00
Element x y z (fractional)
1 Pd 0.000 0.000 0.500
2 C 0.000 0.000 0.000
3 Tc 0.500 0.500 0.500
4 Pd 0.500 0.000 0.000
5 Pd 0.000 0.500 0.000